Entry from the Open Quantum Materials Database: a relaxed structure of GdY2Sn3Pb4 (PBE).

Cell: 13.6273 13.6273 4.5920 Å, 90.00 90.00 160.99°
Closest atoms and distances in Å follow each position.
Atoms (fractional coordinates):
1 Gd 0.0000 0.0000 0.0000  4 Sn 3.21, 8 Pb 3.48-3.49
2 Y 0.3066 0.6934 0.5000  6 Sn 3.25-3.45, 4 Pb 3.42-3.43
3 Y 0.6934 0.3066 0.5000  6 Sn 3.25-3.45, 4 Pb 3.42-3.43
4 Sn 0.2109 0.7891 0.0000  2 Sn 3.08, 6 Y 3.25-3.45
5 Sn 0.5000 0.5000 0.5000  4 Gd 3.21, 8 Pb 3.46-3.51
6 Sn 0.7891 0.2109 0.0000  2 Sn 3.08, 6 Y 3.25-3.45
7 Pb 0.0976 0.9024 0.5000  4 Pb 3.22, 2 Y 3.42, 2 Sn 3.46, 2 Gd 3.49
8 Pb 0.4014 0.5986 0.0000  4 Pb 3.22, 2 Y 3.43, 2 Gd 3.48, 2 Sn 3.51
9 Pb 0.5986 0.4014 0.0000  4 Pb 3.22, 2 Y 3.43, 2 Gd 3.48, 2 Sn 3.51
10 Pb 0.9024 0.0976 0.5000  4 Pb 3.22, 2 Y 3.42, 2 Sn 3.46, 2 Gd 3.49

Properties
Energy relative to the lowest polymorph listed for this composition   0.0 meV/atom

***

Entry from the Open Quantum Materials Database: a relaxed structure of GdY2Sn3Pb4 (PBE).

Cell: 13.5660 13.5660 4.5809 Å, 90.00 90.00 161.07°
Closest atoms and distances in Å follow each position.
Atoms (fractional coordinates):
1 Gd 0.0000 0.0000 0.0000  8 Sn 3.20-3.43, 4 Pb 3.42
2 Y 0.3105 0.6895 0.5000  8 Pb 3.24-3.56, 2 Sn 3.37
3 Y 0.6895 0.3105 0.5000  8 Pb 3.24-3.56, 2 Sn 3.37
4 Sn 0.0953 0.9047 0.5000  4 Pb 3.20, 2 Y 3.37, 2 Sn 3.39, 2 Gd 3.43
5 Sn 0.5000 0.5000 0.5000  4 Gd 3.20, 4 Sn 3.39, 4 Pb 3.46
6 Sn 0.9047 0.0953 0.5000  4 Pb 3.20, 2 Y 3.37, 2 Sn 3.39, 2 Gd 3.43
7 Pb 0.2086 0.7914 0.0000  2 Pb 3.14, 4 Y 3.24
8 Pb 0.4032 0.5968 0.0000  6 Sn 3.20-3.46, 2 Y 3.38, 2 Gd 3.42
9 Pb 0.5968 0.4032 0.0000  6 Sn 3.20-3.46, 2 Y 3.38, 2 Gd 3.42
10 Pb 0.7914 0.2086 0.0000  2 Pb 3.14, 4 Y 3.24

Properties
Energy relative to the lowest polymorph listed for this composition   17.3 meV/atom

***

Entry from the Open Quantum Materials Database: a relaxed structure of TbGdPb2 (PBE).

Cell: 4.4465 6.2868 6.2868 Å, 42.36 90.00 90.00°
Closest atoms and distances in Å follow each position.
Atoms (fractional coordinates):
1 Tb 0.0000 0.0000 0.0000  7 Pb 3.16-3.53
2 Gd 0.5000 0.2604 0.2604  7 Pb 3.16-3.53
3 Pb 0.0000 0.7303 0.7303  3 Tb 3.16-3.53, 4 Gd 3.20, 2 Pb 3.23
4 Pb 0.5000 0.5300 0.5300  3 Gd 3.16-3.53, 4 Tb 3.20, 2 Pb 3.23

Properties
VASP energy   -4.6825 eV per atom

***

Entry from the Open Quantum Materials Database: a relaxed structure of GdTcPb (PBE).

Cell: 4.7950 4.7950 4.7950 Å, 60.00 60.00 60.00°
Closest atoms and distances in Å follow each position.
Atoms (fractional coordinates):
1 Gd 0.0000 0.0000 0.0000  4 Pb 2.94
2 Tc 0.5000 0.5000 0.5000  4 Pb 2.94
3 Pb 0.2500 0.2500 0.2500  4 Gd 2.94, 4 Tc 2.94

Properties
Energy relative to the lowest polymorph listed for this composition   0.0 meV/atom